Entry 1:
Ba2Pd2Se: relaxed, GGA-PBE.

relative energy among the computed polymorphs: 0.75 eV/f.u.
raw formation energy: -0.79 eV per atom

a = 8.0440 Å, b = 8.0440 Å, c = 4.3335 Å
α = 90.00°, β = 90.00°, γ = 90.00°
Closest atoms and distances in Å follow each position.
Space group P4/mbm (No. 127)
One atom of each set of equivalent atoms:
Ba  0.1909  0.3091  0.0000 [4 per cell]  6 Pd 3.08-3.34
Pd  0.1164  0.6164  0.5000 [4 per cell]  1 Pd 2.65
Se  0.0000  0.0000  0.5000 [2 per cell]  4 Pd 3.22

Entry 2:
BaPdSe: relaxed, GGA-PBE.

raw formation energy: -1.24 eV per atom

a = 8.8452 Å, b = 4.5543 Å, c = 7.8860 Å
α = 90.00°, β = 90.00°, γ = 90.00°
Closest atoms and distances in Å follow each position.
Space group Ima2 (No. 46)
One atom of each set of equivalent atoms:
Ba  0.0000  0.0000  0.0000 [4 per cell]  6 Pd 3.43-3.44, 6 Se 3.43-3.44
Pd  0.2500  0.0006  0.3332 [4 per cell]  3 Se 2.63
Se  0.2500  0.9996  0.6667 [4 per cell]  3 Pd 2.63

Entry 3:
BaPdSe: relaxed, GGA-PBE.

raw formation energy: -1.19 eV per atom

a = 5.2115 Å, b = 6.4951 Å, c = 5.2314 Å
α = 90.00°, β = 103.63°, γ = 90.00°
Closest atoms and distances in Å follow each position.
Space group P2_1/m (No. 11)
One atom of each set of equivalent atoms:
Ba  0.1562  0.2500  0.3404 [2 per cell]  2 Pd 3.24, 5 Se 3.28-3.51
Pd  0.5000  0.0000  0.0000 [2 per cell]  2 Se 2.49
Se  0.2711  0.7500  0.2316 [2 per cell]  2 Pd 2.49

Entry 4:
BaPdSe: relaxed, GGA-PBE.

raw formation energy: -1.17 eV per atom

a = 5.5165 Å, b = 9.0818 Å, c = 7.0938 Å
α = 90.00°, β = 90.00°, γ = 90.00°
Closest atoms and distances in Å follow each position.
Space group Imm2 (No. 44)
One atom of each set of equivalent atoms:
Ba  0.0000  0.2473  0.0000 [4 per cell]  4 Pd 3.19-3.20
Pd  0.2496  0.0000  0.7430 [4 per cell]  2 Se 2.53, 2 Pd 2.75-2.76
Se  0.0000  0.0000  0.4433 [2 per cell]  2 Pd 2.53
Se  0.0000  0.5000  0.5425 [2 per cell]  2 Pd 2.53

Entry 5:
BaPdSe: relaxed, GGA-PBE.

raw formation energy: -1.10 eV per atom

a = 9.5609 Å, b = 4.3980 Å, c = 8.3783 Å
α = 90.00°, β = 90.00°, γ = 90.00°
Closest atoms and distances in Å follow each position.
Space group Pnma (No. 62)
One atom of each set of equivalent atoms:
Ba  0.2105  0.2500  0.0246 [4 per cell]  1 Pd 3.11, 4 Se 3.27-3.34
Pd  0.0274  0.2500  0.3926 [4 per cell]  2 Se 2.54
Se  0.0434  0.7500  0.2415 [4 per cell]  2 Pd 2.54

Entry 6:
BaPdSe2: relaxed, GGA-PBE.

raw formation energy: -0.60 eV per atom

a = 7.3601 Å, b = 7.3601 Å, c = 7.3601 Å
α = 90.00°, β = 90.00°, γ = 90.00°
Closest atoms and distances in Å follow each position.
Space group Fm-3m (No. 225)
One atom of each set of equivalent atoms:
Ba  0.0000  0.0000  0.0000 [4 per cell]  8 Se 3.19
Pd  0.0000  0.0000  0.5000 [4 per cell]  8 Se 3.19
Se  0.2500  0.2500  0.2500 [8 per cell]  4 Pd 3.19, 4 Ba 3.19